No. 1
Compound: AcPtAu2
Source: the Alexandria database
Functional: PBE
Structure: relaxed

Calculated values
energy above the lowest structure with this stoichiometry = 223 meV/atom
energy of formation from the pure elements = -538 meV per atom
calculated total energy = -18.85 eV/cell

Cell and atoms, written as POSCAR:
```
AcPtAu2
1.0
4.2278 0.0000 0.0000
0.0000 4.2278 0.0000
0.0000 0.0000 5.1379
Ac Pt Au
1 1 2
Cartesian
0.0000 0.0000 0.0000
2.1139 2.1139 0.0000
0.0000 2.1139 2.5690
2.1139 0.0000 2.5690
```

=====

No. 2
Compound: Ac3PtAu
Source: the Alexandria database
Functional: PBE
Structure: relaxed

Calculated values
energy above the lowest structure with this stoichiometry = 96 meV/atom
energy of formation from the pure elements = -707 meV per atom
calculated total energy = -50.36 eV/cell

Cell and atoms, written as POSCAR:
```
Ac3PtAu
1.0
6.9422 -2.9707 0.0000
6.9422 2.9707 0.0000
-4.7121 0.0000 8.4402
Ac Pt Au
6 2 2
Cartesian
-0.2205 0.0000 3.1358
0.5790 0.0000 7.2705
4.0790 0.0000 2.2610
5.0933 0.0000 6.1792
8.5933 0.0000 1.1697
9.3929 0.0000 5.3045
2.4020 0.0000 4.8014
6.7703 0.0000 3.6388
-2.6306 0.0000 8.0767
11.8030 0.0000 0.3636
```

=====

No. 3
Compound: Ac4Pt5Au2
Source: the Alexandria database
Functional: PBE
Structure: relaxed

Calculated values
energy of formation from the pure elements = -997 meV per atom
calculated total energy = -64.16 eV/cell

Cell and atoms, written as POSCAR:
```
Ac4Pt5Au2
1.0
7.6467 0.0000 0.0000
0.0000 4.2429 0.0000
-0.2158 0.0000 8.6963
Ac Pt Au
4 5 2
Cartesian
1.7326 0.0000 0.8629
1.8835 0.0000 5.2597
5.5474 0.0000 3.4365
5.6983 0.0000 7.8334
-0.1079 2.1214 4.3481
0.1824 2.1214 7.1640
2.2692 2.1214 2.9988
5.1618 2.1214 5.6975
7.2485 2.1214 1.5323
3.0007 2.1214 7.3933
4.4303 2.1214 1.3030
```